This record from Alexandria describes a relaxed structure of RbMnSn2. The functional is GGA-PBE.

Properties
Calculated formation energy = 276 meV/atom
Energy above the lowest structure with this stoichiometry = 0 meV per atom
Fermi-level density of states = 12.23 states/eV/cell

abc: 6.572 6.572 14.273
angles: 90.00 90.00 90.00
Space group I4_1/amd (No. 141, origin choice 2)
Unique sites:
Rb 0.000 0.250 0.375
Mn 0.000 0.250 0.875
Sn 0.000 0.000 0.000